Material: LiVP2O7
Method: DFT, PBE with a Hubbard U
State: optimized geometry

Summary:
Total magnetic moment ... 2.00 μB per cell
SG ... P1 (1)
E ... -79.711 eV per formula unit
Mass density ... 3.2 Mg/m³

abc: 4.5507 5.3229 5.2665
angles: 102.98 98.22 97.95
With the nearest neighbours (Å) after each atom.
Sites, in units of the cell vectors:
Li 0.5344 0.2290 0.7232  4 O 2.09-2.20
P 0.0850 0.7576 0.8322  4 O 1.51-1.61
P 0.9080 0.1743 0.2482  4 O 1.52-1.62
V 0.4965 0.6283 0.3733  6 O 1.98-2.07
O 0.7506 0.9805 0.3797  1 P 1.52
O 0.9841 0.0271 0.9674  2 P 1.61-1.62
O 0.7898 0.5756 0.6808  1 P 1.54
O 0.6997 0.3527 0.1529  1 P 1.54
O 0.2132 0.3134 0.4213  1 P 1.54
O 0.3009 0.8458 0.6559  1 P 1.54
O 0.2378 0.6400 0.0408  1 P 1.51



Material: Li11V8P12O48
Method: DFT, PBE with a Hubbard U
State: optimized geometry

Summary:
Total magnetic moment ... 0.96 μB per cell
SG ... P1 (1)
E ... -564.167 eV per formula unit
Mass density ... 2.9 Mg/m³

abc: 8.7547 12.3121 8.7080
angles: 90.20 90.45 90.14
With the nearest neighbours (Å) after each atom.
Sites, in units of the cell vectors:
O 0.6450 0.9256 0.5540  1 P 1.53
O 0.7681 0.1786 0.8351  1 P 1.56
O 0.3334 0.9204 0.6542  1 P 1.55
O 0.6632 0.4216 0.8489  1 P 1.55
O 0.6372 0.5766 0.0456  1 P 1.55
O 0.6100 0.1596 0.0756  1 P 1.56
O 0.4820 0.2776 0.3106  1 P 1.58
O 0.5650 0.4699 0.3488  1 P 1.52
O 0.4048 0.8412 0.9320  1 P 1.56
O 0.2603 0.3186 0.6678  1 P 1.55
O 0.9470 0.5325 0.3454  1 P 1.51
O 0.4844 0.2286 0.8405  1 P 1.56
O 0.9236 0.9751 0.8496  1 P 1.53
O 0.7650 0.3210 0.3355  1 P 1.55
O 0.0234 0.7299 0.3328  1 P 1.57
O 0.9796 0.2646 0.6714  1 P 1.57
O 0.8402 0.9251 0.3499  1 P 1.54
O 0.8338 0.5843 0.8479  1 P 1.56
O 0.2272 0.6839 0.6576  1 P 1.58
O 0.5120 0.7204 0.6932  1 P 1.57
O 0.7409 0.6789 0.3351  1 P 1.55
O 0.0147 0.7839 0.8106  1 P 1.56
O 0.4203 0.5302 0.6523  1 P 1.52
O 0.0756 0.0335 0.1542  1 P 1.52
O 0.1489 0.5662 0.9433  1 P 1.53
O 0.0949 0.1547 0.9198  1 P 1.57
O 0.0968 0.3400 0.4311  1 P 1.55
O 0.9886 0.2270 0.1692  1 P 1.54
O 0.1574 0.0782 0.6505  1 P 1.56
O 0.1339 0.9229 0.4557  1 P 1.55
O 0.9071 0.6630 0.5698  1 P 1.57
O 0.2434 0.8242 0.1685  1 P 1.54
O 0.8627 0.0639 0.5685  1 P 1.57
O 0.5626 0.0329 0.8449  1 P 1.51
O 0.4528 0.9695 0.1583  1 P 1.52
O 0.0472 0.4607 0.6627  1 P 1.52
O 0.2734 0.1841 0.1438  1 P 1.56
O 0.3470 0.0665 0.4415  1 P 1.52
O 0.1696 0.4199 0.1543  1 P 1.55
O 0.7306 0.8187 0.8425  1 P 1.57
O 0.6663 0.0856 0.3669  1 P 1.54
O 0.4010 0.6650 0.4314  1 P 1.54
O 0.5258 0.7725 0.1664  1 P 1.56
O 0.3423 0.5817 0.1476  1 P 1.56
O 0.9036 0.8416 0.0699  1 P 1.55
O 0.3665 0.4243 0.9547  1 P 1.55
O 0.8578 0.4380 0.0570  1 P 1.52
O 0.5965 0.3371 0.5683  1 P 1.55
Li 0.7318 0.6857 0.6961  4 O 1.92-2.07
Li 0.0679 0.7874 0.5574  4 O 1.98-2.11
Li 0.7832 0.1815 0.2245  4 O 1.95-2.00
Li 0.2290 0.6821 0.2768  4 O 1.95-2.02
Li 0.4383 0.2907 0.0587  4 O 1.98-2.21
Li 0.2644 0.3125 0.3007  4 O 1.89-2.09
Li 0.5655 0.7098 0.9434  4 O 1.97-2.16
Li 0.7310 0.8184 0.2233  4 O 1.94-2.04
Li 0.7737 0.3189 0.7143  4 O 1.96-2.03
Li 0.2779 0.1801 0.7774  4 O 1.96-2.06
Li 0.2322 0.8150 0.8034  4 O 1.90-2.05
P 0.3916 0.6470 0.6065  4 O 1.52-1.58
P 0.6078 0.1460 0.8975  4 O 1.51-1.56
P 0.6042 0.3535 0.3919  4 O 1.52-1.58
P 0.2456 0.9982 0.5445  4 O 1.52-1.56
P 0.7492 0.5031 0.9558  4 O 1.52-1.56
P 0.0983 0.3492 0.6082  4 O 1.52-1.57
P 0.8949 0.8563 0.8937  4 O 1.53-1.57
P 0.7509 0.9986 0.4616  4 O 1.53-1.57
P 0.1070 0.1484 0.1001  4 O 1.52-1.57
P 0.2542 0.4980 0.0451  4 O 1.53-1.56
P 0.4037 0.8557 0.1104  4 O 1.52-1.56
P 0.9023 0.6460 0.3913  4 O 1.51-1.57
V 0.0378 0.6078 0.7555  5 O 1.97-2.09
V 0.5381 0.8896 0.7460  6 O 1.97-2.14
V 0.4654 0.1116 0.2591  6 O 1.96-2.15
V 0.4596 0.3869 0.7469  6 O 1.98-2.13
V 0.9613 0.3869 0.2466  6 O 1.98-2.09
V 0.5411 0.6126 0.2541  6 O 1.95-2.12
V 0.9584 0.1138 0.7474  6 O 1.86-2.00
V 0.0431 0.8891 0.2469  6 O 1.98-2.11



Material: LiVPO5
Method: DFT, PBE with a Hubbard U
State: optimized geometry

Summary:
Total magnetic moment ... 4.00 μB per cell
SG ... P2_12_12_1 (19)
E ... -56.912 eV per formula unit
Mass density ... 2.5 Mg/m³

abc: 6.0973 7.4714 10.0038
angles: 90.00 90.00 90.00
With the nearest neighbours (Å) after each atom.
Sites, in units of the cell vectors:
V 0.0744 0.0478 0.5525  1 O 1.64
V 0.5744 0.4522 0.4475  1 O 1.64
V 0.9256 0.5478 0.9475  1 O 1.64
V 0.4256 0.9522 0.0525  1 O 1.64
P 0.2847 0.1425 0.3303  4 O 1.54-1.58
P 0.7847 0.3575 0.6697  4 O 1.54-1.58
P 0.7153 0.6425 0.1697  4 O 1.54-1.58
P 0.2153 0.8575 0.8303  4 O 1.54-1.58
O 0.5207 0.7723 0.1831  1 P 1.54
O 0.9182 0.7341 0.1003  1 P 1.58
O 0.0207 0.7277 0.8169  1 P 1.54
O 0.8313 0.5091 0.5650  1 P 1.57
O 0.6417 0.0795 0.0284  1 V 1.64
O 0.8583 0.9205 0.5284  1 V 1.64
O 0.4182 0.7659 0.8997  1 P 1.58
O 0.3313 0.9909 0.4350  1 P 1.57
O 0.0818 0.2341 0.3997  1 P 1.58
O 0.2264 0.0657 0.1916  1 P 1.54
O 0.4793 0.2723 0.3169  1 P 1.54
O 0.9793 0.2277 0.6831  1 P 1.54
O 0.6687 0.4909 0.0650  1 P 1.57
O 0.1417 0.4205 0.9716  1 V 1.64
O 0.7264 0.4343 0.8084  1 P 1.54
O 0.1687 0.0091 0.9350  1 P 1.57
O 0.2736 0.9343 0.6916  1 P 1.54
O 0.5818 0.2659 0.6003  1 P 1.58
O 0.7736 0.5657 0.3084  1 P 1.54
O 0.3583 0.5795 0.4716  1 V 1.64
Li 0.4466 0.4822 0.9230  4 O 1.96-2.14
Li 0.5534 0.9822 0.5770  4 O 1.96-2.14
Li 0.9466 0.0178 0.0770  4 O 1.96-2.14
Li 0.0534 0.5178 0.4230  4 O 1.96-2.14



Material: LiVPO5
Method: DFT, PBE with a Hubbard U
State: optimized geometry

Summary:
Total magnetic moment ... 2.00 μB per cell
SG ... P1 (1)
E ... -56.590 eV per formula unit
Mass density ... 2.5 Mg/m³

abc: 5.1435 5.9670 8.0020
angles: 111.74 79.68 90.42
With the nearest neighbours (Å) after each atom.
Sites, in units of the cell vectors:
Li 0.9409 0.1345 0.2727  3 O 1.88-2.08
Li 0.0526 0.8659 0.7280  4 O 1.87-2.09
O 0.1704 0.3788 0.1929  1 P 1.58
O 0.8316 0.1795 0.8022  1 P 1.56
O 0.7751 0.2747 0.5200  1 P 1.48
O 0.6664 0.0330 0.1094  1 V 1.76
O 0.4331 0.4180 0.8367  1 P 1.62
O 0.5700 0.5936 0.1717  1 P 1.61
O 0.8265 0.6253 0.8177  1 P 1.60
O 0.2128 0.7546 0.4806  1 P 1.48
O 0.3414 0.9127 0.8836  1 V 1.71
O 0.1760 0.8084 0.1795  1 P 1.60
P 0.2670 0.6428 0.2785  4 O 1.48-1.61
P 0.7346 0.3587 0.7221  4 O 1.48-1.62
V 0.5008 0.7788 0.9963  2 O 1.71-1.76
V 0.5008 0.2408 0.0080  6 O 1.98-2.09



Material: Li2VP2O8
Method: DFT, PBE with a Hubbard U
State: optimized geometry

Summary:
Total magnetic moment ... 1.98 μB per cell
SG ... P2_1 (4)
E ... -90.602 eV per formula unit
Mass density ... 2.8 Mg/m³

abc: 8.0748 5.0338 7.5136
angles: 79.97 90.00 90.00
With the nearest neighbours (Å) after each atom.
Sites, in units of the cell vectors:
O 0.1358 0.2545 0.4851  1 P 1.55
O 0.3578 0.7399 0.9750  1 P 1.56
O 0.5680 0.0941 0.1344  1 P 1.51
O 0.9022 0.9365 0.3746  1 P 1.59
O 0.1053 0.5538 0.1397  1 P 1.58
O 0.4075 0.4354 0.3478  1 P 1.50
O 0.9075 0.5646 0.6522  1 P 1.50
O 0.3203 0.5267 0.6591  1 P 1.55
O 0.1902 0.0349 0.1528  1 P 1.56
O 0.6358 0.7455 0.5149  1 P 1.55
O 0.4022 0.0635 0.6254  1 P 1.59
O 0.6902 0.9651 0.8472  1 P 1.56
O 0.6053 0.4462 0.8603  1 P 1.58
O 0.8203 0.4733 0.3409  1 P 1.55
O 0.8578 0.2601 0.0250  1 P 1.56
O 0.0680 0.9059 0.8656  1 P 1.51
V 0.9956 0.2483 0.2578  3 O 1.82-1.98
V 0.4956 0.7517 0.7422  3 O 1.82-1.98
P 0.1797 0.8214 0.0258  4 O 1.51-1.58
P 0.6797 0.1786 0.9742  4 O 1.51-1.58
P 0.8178 0.6693 0.4788  4 O 1.50-1.59
P 0.3178 0.3307 0.5212  4 O 1.50-1.59
Li 0.5072 0.7780 0.2885  3 O 1.86-1.97
Li 0.0072 0.2220 0.7115  3 O 1.86-1.97
Li 0.3703 0.3234 0.1229  3 O 1.90-2.04
Li 0.8703 0.6766 0.8771  3 O 1.90-2.04